Record 1
An optimized crystal structure of Sc3As2. Source: Alexandria via LeMat-Bulk, functional PBE-GGA.

Lattice parameters (Å, degrees): 8.128 7.459 5.620 75.39 62.62 42.00
Positions (direct):
As: 0.379 0.021 0.683
As: 0.229 0.871 0.333
As: 0.567 0.333 0.871
As: 0.917 0.683 0.021
Sc: 0.090 0.910 0.910
Sc: 0.340 0.160 0.160
Sc: 0.838 0.864 0.522
Sc: 0.728 0.475 0.412
Sc: 0.386 0.412 0.475
Sc: 0.775 0.522 0.864

Computed properties:
Symmetry   No. 43
Distance to the lowest polymorph of the same formula   1.19 eV/f.u.
Electronic total energy   -6.594 eV/atom
Calculated formation energy   -0.935 eV per atom



Record 2
An optimized crystal structure of Sc5Co4Ag. Source: Alexandria via LeMat-Bulk, functional PBE-GGA.

Lattice parameters (Å, degrees): 3.125 3.125 16.629 90.00 90.00 90.00
Positions (direct):
Co: 0.000 0.000 0.216
Co: 0.000 0.000 0.594
Co: 0.000 0.000 0.406
Co: 0.000 0.000 0.784
Sc: 0.500 0.500 0.500
Sc: 0.500 0.500 0.687
Sc: 0.500 0.500 0.313
Sc: 0.500 0.500 0.874
Sc: 0.500 0.500 0.126
Ag: 0.000 0.000 0.000

Computed properties:
Symmetry   No. 123
Electronic total energy   -6.648 eV/atom
Calculated formation energy   -0.355 eV per atom



Record 3
An optimized crystal structure of AgIrF2. Source: Alexandria via LeMat-Bulk, functional PBE-GGA.

Lattice parameters (Å, degrees): 4.274 4.274 4.274 60.00 60.00 60.00
Positions (direct):
F: 0.750 0.750 0.750
F: 0.250 0.250 0.250
Ir: 0.500 0.500 0.500
Ag: 0.000 0.000 0.000

Computed properties:
Symmetry   No. 225
Distance to the lowest polymorph of the same formula   1.23 eV/f.u.
Electronic total energy   -3.745 eV/atom
Raw formation energy   0.12 eV/atom



Record 4
An optimized crystal structure of Tb3AlS6. Source: Alexandria via LeMat-Bulk, functional PBE-GGA.

Lattice parameters (Å, degrees): 6.476 8.571 8.571 102.38 90.00 90.00
Positions (direct):
S: 0.661 0.958 0.042
S: 0.675 0.217 0.783
S: 0.194 0.102 0.570
S: 0.189 0.690 0.634
S: 0.689 0.310 0.366
S: 0.694 0.570 0.102
S: 0.689 0.634 0.690
S: 0.161 0.042 0.958
S: 0.175 0.783 0.217
S: 0.694 0.898 0.430
S: 0.189 0.366 0.310
S: 0.194 0.430 0.898
Al: 0.023 0.200 0.800
Al: 0.523 0.800 0.200
Tb: 0.983 0.715 0.916
Tb: 0.895 0.599 0.401
Tb: 0.483 0.285 0.084
Tb: 0.483 0.916 0.715
Tb: 0.395 0.401 0.599
Tb: 0.983 0.084 0.285

Computed properties:
Symmetry   No. 36
Electronic total energy   -6.086 eV/atom
Raw formation energy   -1.85 eV/atom



Record 5
An optimized crystal structure of SrTeIr2. Source: Alexandria via LeMat-Bulk, functional PBE-GGA.

Lattice parameters (Å, degrees): 4.215 5.114 5.036 74.81 90.00 90.00
Positions (direct):
Te: 0.500 0.784 0.874
Ir: 0.500 0.270 0.071
Ir: 0.000 0.020 0.061
Sr: 0.000 0.427 0.494

Computed properties:
Symmetry   No. 6
Electronic total energy   -5.797 eV/atom
Raw formation energy   -0.16 eV/atom



Record 6
An optimized crystal structure of Cu7Mo. Source: Alexandria via LeMat-Bulk, functional PBE-GGA.

Lattice parameters (Å, degrees): 5.239 5.239 5.239 60.00 60.00 60.00
Positions (direct):
Cu: 0.500 0.500 0.000
Cu: 0.000 0.500 0.000
Cu: 0.500 0.500 0.500
Cu: 0.500 0.000 0.500
Cu: 0.500 0.000 0.000
Cu: 0.000 0.000 0.500
Cu: 0.000 0.500 0.500
Mo: 0.000 0.000 0.000

Computed properties:
Symmetry   No. 225
Electronic total energy   -4.660 eV/atom
Calculated formation energy   0.278 eV per atom



Record 7
An optimized crystal structure of PmAlSi2Pd5. Source: Alexandria via LeMat-Bulk, functional PBE-GGA.

Lattice parameters (Å, degrees): 4.094 4.094 10.232 90.00 90.00 90.00
Positions (direct):
Al: 0.000 0.000 0.000
Pd: 0.500 0.000 0.151
Pd: 0.500 0.000 0.849
Pd: 0.500 0.500 0.500
Pd: 0.000 0.500 0.849
Pd: 0.000 0.500 0.151
Si: 0.500 0.500 0.728
Si: 0.500 0.500 0.272
Pm: 0.000 0.000 0.500

Computed properties:
Symmetry   No. 123
Electronic total energy   -5.645 eV/atom
Raw formation energy   -0.61 eV/atom



Record 8
An optimized crystal structure of RbMnAsI2. Source: Alexandria via LeMat-Bulk, functional PBE-GGA.

Lattice parameters (Å, degrees): 6.770 6.770 6.934 90.00 90.00 90.00
Positions (direct):
As: 0.500 0.500 0.500
Mn: 0.000 0.000 0.500
I: 0.000 0.500 0.000
I: 0.500 0.000 0.000
Rb: 0.000 0.000 0.000

Computed properties:
Symmetry   No. 123
Electronic total energy   -2.692 eV/atom
Raw formation energy   0.89 eV/atom



Record 9
An optimized crystal structure of Rb2NaTbF6. Source: Alexandria via LeMat-Bulk, functional PBE-GGA.

Lattice parameters (Å, degrees): 6.376 6.376 6.376 60.00 60.00 60.00
Positions (direct):
F: 0.244 0.756 0.756
F: 0.756 0.244 0.756
F: 0.756 0.244 0.244
F: 0.756 0.756 0.244
F: 0.244 0.756 0.244
F: 0.244 0.244 0.756
Tb: 0.000 0.000 0.000
Rb: 0.750 0.750 0.750
Rb: 0.250 0.250 0.250
Na: 0.500 0.500 0.500

Computed properties:
Symmetry   No. 225
Electronic total energy   -5.243 eV/atom
Raw formation energy   -3.33 eV/atom



Record 10
An optimized crystal structure of AgSn2Br6. Source: Alexandria via LeMat-Bulk, functional PBE-GGA.

Lattice parameters (Å, degrees): 7.326 8.853 10.314 85.37 84.47 83.80
Positions (direct):
Br: 0.814 0.182 0.096
Br: 0.392 0.698 0.539
Br: 0.396 0.354 0.895
Br: 0.286 0.045 0.214
Br: 0.844 0.863 0.412
Br: 0.186 0.818 0.904
Br: 0.062 0.460 0.306
Br: 0.156 0.137 0.588
Br: 0.604 0.646 0.105
Br: 0.938 0.540 0.694
Br: 0.608 0.302 0.461
Br: 0.714 0.955 0.786
Sn: 0.964 0.157 0.334
Sn: 0.464 0.343 0.155
Sn: 0.036 0.843 0.666
Sn: 0.536 0.657 0.845
Ag: 0.739 0.578 0.444
Ag: 0.261 0.422 0.556

Computed properties:
Symmetry   No. 2
Electronic total energy   -2.914 eV/atom
Raw formation energy   -0.59 eV/atom



Record 11
An optimized crystal structure of TbErNi. Source: Alexandria via LeMat-Bulk, functional PBE-GGA.

Lattice parameters (Å, degrees): 3.385 6.847 6.611 105.07 104.84 89.98
Positions (direct):
Er: 0.570 0.118 0.907
Er: 0.307 0.986 0.382
Tb: 0.308 0.486 0.383
Tb: 0.570 0.618 0.906
Ni: 0.939 0.290 0.646
Ni: 0.938 0.813 0.643

Computed properties:
Symmetry   No. 12
Distance to the lowest polymorph of the same formula   0.13 eV/f.u.
Electronic total energy   -5.243 eV/atom
Calculated formation energy   -0.252 eV per atom



Record 12
An optimized crystal structure of Cs4GaGe3Br12. Source: Alexandria via LeMat-Bulk, functional PBE-GGA.

Lattice parameters (Å, degrees): 9.661 9.661 9.661 109.47 109.47 109.47
Positions (direct):
Br: 0.750 0.500 0.250
Br: 0.500 0.250 0.750
Br: 0.000 0.249 0.249
Br: 0.249 0.249 0.000
Br: 0.249 0.000 0.249
Br: 0.751 0.751 0.000
Br: 0.751 0.000 0.751
Br: 0.250 0.750 0.500
Br: 0.500 0.750 0.250
Br: 0.750 0.250 0.500
Br: 0.250 0.500 0.750
Br: 0.000 0.751 0.751
Ga: 0.000 0.000 0.000
Cs: 0.500 0.000 0.000
Cs: 0.000 0.500 0.000
Cs: 0.000 0.000 0.500
Cs: 0.500 0.500 0.500
Ge: 0.500 0.000 0.500
Ge: 0.500 0.500 0.000
Ge: 0.000 0.500 0.500

Computed properties:
Symmetry   No. 229
Electronic total energy   -3.123 eV/atom
Raw formation energy   -1.10 eV/atom



Record 13
An optimized crystal structure of Sm2Ho4Te9. Source: Alexandria via LeMat-Bulk, functional PBE-GGA.

Lattice parameters (Å, degrees): 7.727 7.727 21.136 90.00 90.01 60.01
Positions (direct):
Te: 0.658 0.981 0.417
Te: 0.981 0.659 0.917
Te: 0.361 0.981 0.917
Te: 0.658 0.361 0.917
Te: 0.318 0.000 0.250
Te: 0.682 0.318 0.250
Te: 0.639 0.019 0.083
Te: 0.342 0.639 0.083
Te: 0.360 0.658 0.417
Te: 0.000 0.318 0.750
Te: 0.342 0.019 0.583
Te: 0.640 0.342 0.583
Te: 0.019 0.639 0.583
Te: 0.000 0.682 0.250
Te: 0.682 0.000 0.750
Te: 0.981 0.361 0.417
Te: 0.318 0.682 0.750
Te: 0.019 0.341 0.083
Ho: 0.333 0.333 0.991
Ho: 0.667 0.667 0.509
Ho: 0.667 0.667 0.009
Ho: 0.666 0.667 0.324
Ho: 0.333 0.333 0.491
Ho: 0.334 0.333 0.676
Ho: 0.333 0.333 0.176
Ho: 0.667 0.667 0.824
Sm: 0.000 0.000 0.655
Sm: 0.000 0.000 0.155
Sm: 0.000 0.000 0.345
Sm: 0.000 0.000 0.845

Computed properties:
Symmetry   No. 15
Electronic total energy   -5.095 eV/atom
Raw formation energy   -1.36 eV/atom



Record 14
An optimized crystal structure of RbAgPCl2. Source: Alexandria via LeMat-Bulk, functional PBE-GGA.

Lattice parameters (Å, degrees): 5.464 5.464 4.871 90.00 90.00 90.00
Positions (direct):
Ag: 0.000 0.000 0.000
Cl: 0.000 0.500 0.000
Cl: 0.500 0.000 0.000
P: 0.000 0.000 0.500
Rb: 0.500 0.500 0.500

Computed properties:
Symmetry   No. 123
Distance to the lowest polymorph of the same formula   0.00 eV/f.u.
Electronic total energy   -2.983 eV/atom
Raw formation energy   -0.40 eV/atom



Record 15
An optimized crystal structure of Ba2CuSi. Source: Alexandria via LeMat-Bulk, functional PBE-GGA.

Lattice parameters (Å, degrees): 4.366 4.366 9.187 76.25 76.25 60.00
Positions (direct):
Si: 0.723 0.723 0.830
Ba: 0.307 0.307 0.079
Ba: 0.473 0.473 0.580
Cu: 0.057 0.057 0.829

Computed properties:
Symmetry   No. 160
Electronic total energy   -3.602 eV/atom
Raw formation energy   -0.26 eV/atom



Record 16
An optimized crystal structure of RbCeInS4. Source: Alexandria via LeMat-Bulk, functional PBE-GGA.

Lattice parameters (Å, degrees): 6.833 6.887 9.432 90.00 110.13 90.00
Positions (direct):
Ce: 0.783 0.750 0.449
Ce: 0.217 0.250 0.551
S: 0.975 0.012 0.308
S: 0.450 0.750 0.177
S: 0.025 0.988 0.692
S: 0.550 0.250 0.823
S: 0.975 0.488 0.308
S: 0.500 0.250 0.408
S: 0.025 0.512 0.692
S: 0.500 0.750 0.592
In: 0.762 0.250 0.663
In: 0.238 0.750 0.337
Rb: 0.276 0.250 0.051
Rb: 0.724 0.750 0.949

Computed properties:
Symmetry   No. 11
Electronic total energy   -4.947 eV/atom
Raw formation energy   -1.21 eV/atom



Record 17
An optimized crystal structure of InRhBr2. Source: Alexandria via LeMat-Bulk, functional PBE-GGA.

Lattice parameters (Å, degrees): 6.573 6.573 6.573 143.96 143.96 51.89
Positions (direct):
In: 0.500 0.500 0.000
Br: 0.000 0.000 0.000
Br: 0.250 0.750 0.500
Rh: 0.750 0.250 0.500

Computed properties:
Symmetry   No. 119
Distance to the lowest polymorph of the same formula   2.19 eV/f.u.
Electronic total energy   -3.087 eV/atom
Raw formation energy   0.27 eV/atom



Record 18
An optimized crystal structure of KTlAg4. Source: Alexandria via LeMat-Bulk, functional PBE-GGA.

Lattice parameters (Å, degrees): 5.807 5.807 5.807 60.00 60.00 60.00
Positions (direct):
Ag: 0.375 0.375 0.375
Ag: 0.375 0.375 0.876
Ag: 0.876 0.375 0.375
Ag: 0.375 0.876 0.375
Tl: 0.000 0.000 0.000
K: 0.750 0.750 0.750

Computed properties:
Symmetry   No. 216
Electronic total energy   -2.433 eV/atom
Calculated formation energy   0.045 eV per atom



Record 19
An optimized crystal structure of YNbRe2Ge. Source: Alexandria via LeMat-Bulk, functional PBE-GGA.

Lattice parameters (Å, degrees): 4.591 5.013 4.591 90.00 90.00 90.00
Positions (direct):
Y: 0.000 0.500 0.000
Nb: 0.500 0.500 0.500
Ge: 0.000 0.000 0.000
Re: 0.000 0.000 0.500
Re: 0.500 0.000 0.000

Computed properties:
Symmetry   No. 123
Electronic total energy   -7.990 eV/atom
Calculated formation energy   1.220 eV per atom



Record 20
An optimized crystal structure of Ba3Li2Au3. Source: Alexandria via LeMat-Bulk, functional PBE-GGA.

Lattice parameters (Å, degrees): 7.044 8.536 16.330 90.00 90.00 90.00
Positions (direct):
Li: 0.628 0.627 0.088
Li: 0.628 0.627 0.412
Li: 0.128 0.873 0.912
Li: 0.128 0.873 0.588
Li: 0.872 0.127 0.088
Li: 0.372 0.373 0.588
Li: 0.872 0.127 0.412
Li: 0.372 0.373 0.912
Ba: 0.869 0.833 0.250
Ba: 0.159 0.476 0.105
Ba: 0.631 0.333 0.250
Ba: 0.131 0.167 0.750
Ba: 0.659 0.024 0.605
Ba: 0.659 0.024 0.895
Ba: 0.341 0.976 0.105
Ba: 0.369 0.667 0.750
Ba: 0.159 0.476 0.395
Ba: 0.841 0.524 0.895
Ba: 0.341 0.976 0.395
Ba: 0.841 0.524 0.605
Au: 0.408 0.681 0.544
Au: 0.579 0.316 0.750
Au: 0.592 0.319 0.044
Au: 0.921 0.816 0.750
Au: 0.421 0.684 0.250
Au: 0.592 0.319 0.456
Au: 0.092 0.181 0.956
Au: 0.908 0.819 0.044
Au: 0.908 0.819 0.456
Au: 0.079 0.184 0.250
Au: 0.408 0.681 0.956
Au: 0.092 0.181 0.544

Computed properties:
Symmetry   No. 62
Electronic total energy   -2.993 eV/atom
Calculated formation energy   -0.565 eV per atom



| no. | M_tot (μB/f.u.) |
| --- | --- |
| 1 | 0.000 |
| 2 | 0.867 |
| 3 | 2.387 |
| 4 | 0.000 |
| 5 | 0.000 |
| 6 | 1.540 |
| 7 | 0.000 |
| 8 | 3.024 |
| 9 | 0.000 |
| 10 | 0.000 |
| 11 | 0.000 |
| 12 | 0.000 |
| 13 | 0.000 |
| 14 | 2.158 |
| 15 | 0.000 |
| 16 | 0.150 |
| 17 | 1.128 |
| 18 | 0.000 |
| 19 | 0.606 |
| 20 | 0.000 |